Entry 1:
First-principles (PBE) data for crystalline PuBe2SbO8 at its relaxed geometry, as listed in Alexandria via LeMat-Bulk.

Cell lengths 5.1840, 5.1840, 6.2896 Å; angles 90.00, 90.00, 120.00 degrees
Space group P-3 (No. 147)
Symmetry-distinct sites (fractional):
1 Pu 0.0000 0.0000 0.0000 x1
2 Be 0.3333 0.6667 0.7820 x2
3 Sb 0.0000 0.0000 0.5000 x1
4 O 0.1580 0.3224 0.7178 x6
5 O 0.3333 0.6667 0.0380 x2

Summary:
**Formation energy without anion corrections**: -1.6447 eV per atom

Entry 2:
First-principles (PBE) data for crystalline PuBeSnO6 at its relaxed geometry, as listed in Alexandria via LeMat-Bulk.

Cell lengths 5.0550, 5.0550, 9.1697 Å; angles 90.00, 90.00, 120.00 degrees
Space group P-31c (No. 163)
Symmetry-distinct sites (fractional):
1 Pu 0.3333 0.6667 0.2500 x2
2 Be 0.3333 0.6667 0.7500 x2
3 Sn 0.0000 0.0000 0.0000 x2
4 O 0.0259 0.3552 0.6327 x12

Summary:
**Formation energy without anion corrections**: -1.9991 eV per atom

Entry 3:
First-principles (PBE) data for crystalline Sr2PuBeO5 at its relaxed geometry, as listed in Alexandria via LeMat-Bulk.

Cell lengths 3.4378, 13.9589, 10.8842 Å; angles 90.00, 90.00, 90.00 degrees
Space group Cmc2_1 (No. 36)
Symmetry-distinct sites (fractional):
1 Sr 0.0000 0.0981 0.0000 x4
2 Sr 0.0000 0.1257 0.6703 x4
3 Pu 0.0000 0.1895 0.3641 x4
4 Be 0.0000 0.4454 0.7373 x4
5 O 0.0000 0.0347 0.3180 x4
6 O 0.0000 0.2964 0.9977 x4
7 O 0.0000 0.3271 0.7286 x4
8 O 0.0000 0.3405 0.3423 x4
9 O 0.0000 0.4998 0.1147 x4

Summary:
**Formation energy without anion corrections**: -2.7757 eV per atom

Entry 4:
First-principles (PBE) data for crystalline SrPu2BeO8 at its relaxed geometry, as listed in Alexandria via LeMat-Bulk.

Cell lengths 6.4617, 7.4593, 6.8363 Å; angles 90.00, 90.00, 90.00 degrees
Space group Cmmm (No. 65)
Symmetry-distinct sites (fractional):
1 Sr 0.0000 0.0000 0.0000 x2
2 Pu 0.0000 0.5000 0.2640 x4
3 Be 0.0000 0.0000 0.5000 x2
4 O 0.0000 0.3202 0.5000 x4
5 O 0.0000 0.3336 0.0000 x4
6 O 0.1958 0.0000 0.3047 x8

Summary:
**Formation energy without anion corrections**: -2.4329 eV per atom

Entry 5:
First-principles (PBE) data for crystalline Sr3PuBe2O8 at its relaxed geometry, as listed in Alexandria via LeMat-Bulk.

Cell lengths 5.5519, 5.5519, 7.1216 Å; angles 90.00, 90.00, 120.00 degrees
Space group P-3m1 (No. 164)
Symmetry-distinct sites (fractional):
1 Sr 0.0000 0.0000 0.0000 x1
2 Sr 0.3333 0.6667 0.6940 x2
3 Pu 0.0000 0.0000 0.5000 x1
4 Be 0.3333 0.6667 0.2231 x2
5 O 0.1727 0.3453 0.3249 x6
6 O 0.3333 0.6667 0.0110 x2

Summary:
**Formation energy without anion corrections**: -2.6439 eV per atom

Entry 6:
First-principles (PBE) data for crystalline SrPuBeO6 at its relaxed geometry, as listed in Alexandria via LeMat-Bulk.

Cell lengths 5.0770, 5.0770, 5.5211 Å; angles 90.00, 90.00, 120.00 degrees
Space group P312 (No. 149)
Symmetry-distinct sites (fractional):
1 Sr 0.0000 0.0000 0.0000 x1
2 Pu 0.3333 0.6667 0.5000 x1
3 Be 0.6667 0.3333 0.5000 x1
4 O 0.3825 0.0141 0.6959 x6

Summary:
**Formation energy without anion corrections**: -2.2591 eV per atom

Entry 7:
First-principles (PBE) data for crystalline PuBe2TeO8 at its relaxed geometry, as listed in Alexandria via LeMat-Bulk.

Cell lengths 4.7840, 4.7840, 6.5467 Å; angles 90.00, 90.00, 120.00 degrees
Space group P-3 (No. 147)
Symmetry-distinct sites (fractional):
1 Pu 0.0000 0.0000 0.0000 x1
2 Be 0.3333 0.6667 0.7495 x2
3 Te 0.0000 0.0000 0.5000 x1
4 O 0.0377 0.3195 0.6953 x6
5 O 0.3333 0.6667 0.9950 x2

Summary:
**Formation energy without anion corrections**: -1.6215 eV per atom

Entry 8:
First-principles (PBE) data for crystalline PuTiBeO6 at its relaxed geometry, as listed in Alexandria via LeMat-Bulk.

Cell lengths 4.9660, 4.9660, 8.8711 Å; angles 90.00, 90.00, 120.00 degrees
Space group P-31c (No. 163)
Symmetry-distinct sites (fractional):
1 Pu 0.3333 0.6667 0.2500 x2
2 Ti 0.0000 0.0000 0.0000 x2
3 Be 0.3333 0.6667 0.7500 x2
4 O 0.0276 0.3429 0.6295 x12

Summary:
**Formation energy without anion corrections**: -2.4359 eV per atom